Version one
Compound: CaHfBi3
Source: Alexandria
Functional: PBE
Structure: optimized geometry

The space group is Pm-3m (No. 221) and the conventional cell measures 5.668, 5.668 and 5.668 Å, with angles of 90.00, 90.00 and 90.00 degrees. Symmetry generates all atoms from Ca at (0.000, 0.000, 0.000), Hf at (0.500, 0.500, 0.500) and Bi at (0.000, 0.500, 0.500).

For the spin magnetization, the calculation gives 0.0 Bohr magnetons per cell.


Version two
Compound: CaHfBi3
Source: Alexandria
Functional: PBE
Structure: optimized geometry

The space group is Pbcm (No. 57) and the conventional cell measures 13.950, 6.512 and 6.665 Å, with angles of 90.00, 90.00 and 90.00 degrees. Symmetry generates all atoms from Ca at (0.183, 0.019, 0.250), Hf at (0.405, 0.750, 0.000), Bi at (0.007, 0.750, 0.000), Bi at (0.262, 0.511, 0.250) and Bi at (0.423, 0.132, 0.250).

For the spin magnetization, the calculation gives 0.0 Bohr magnetons per cell.


Of them, the most stable is version two and the least stable is version one.


Version one
Compound: CaHfBi2
Source: Alexandria
Functional: PBE
Structure: optimized geometry

The space group is I-42d (No. 122) and the conventional cell measures 8.292, 8.292 and 7.048 Å, with angles of 90.00, 90.00 and 90.00 degrees. Symmetry generates all atoms from Ca at (0.000, 0.000, 0.000), Hf at (0.000, 0.000, 0.500) and Bi at (0.230, 0.250, 0.625).

For the spin magnetization, the calculation gives 0.0 Bohr magnetons per cell.


Version two
Compound: CaHfBi2
Source: Alexandria
Functional: PBE
Structure: optimized geometry

The space group is P4/mmm (No. 123) and the conventional cell measures 3.673, 3.673 and 8.186 Å, with angles of 90.00, 90.00 and 90.00 degrees. Symmetry generates all atoms from Ca at (0.000, 0.000, 0.000), Hf at (0.000, 0.000, 0.500) and Bi at (0.500, 0.500, 0.276).

For the spin magnetization, the calculation gives 0.0 Bohr magnetons per cell.


Of them, the most stable is version two and the least stable is version one.


Version one
Compound: CaHf2Bi2
Source: Alexandria
Functional: PBE
Structure: optimized geometry

The space group is P4/mbm (No. 127) and the conventional cell measures 8.284, 8.284 and 3.872 Å, with angles of 90.00, 90.00 and 90.00 degrees. Symmetry generates all atoms from Ca at (0.000, 0.000, 0.000), Hf at (0.135, 0.365, 0.500) and Bi at (0.153, 0.653, 0.000).

For the spin magnetization, the calculation gives 0.0 Bohr magnetons per cell.


Version two
Compound: CaHf2Bi2
Source: Alexandria
Functional: PBE
Structure: optimized geometry

The space group is I4/mmm (No. 139) and the conventional cell measures 4.350, 4.350 and 14.992 Å, with angles of 90.00, 90.00 and 90.00 degrees. Symmetry generates all atoms from Ca at (0.000, 0.000, 0.000), Hf at (0.000, 0.500, 0.250) and Bi at (0.000, 0.000, 0.391).

For the spin magnetization, the calculation gives 0.0 Bohr magnetons per cell.


Of them, the most stable is version two and the least stable is version one.


Version one
Compound: CaHfBiOs
Source: Alexandria
Functional: PBE
Structure: optimized geometry

The space group is Imm2 (No. 44) and the conventional cell measures 3.330, 4.391 and 13.620 Å, with angles of 90.00, 90.00 and 90.00 degrees. Symmetry generates all atoms from Ca at (0.000, 0.000, 0.000), Hf at (0.000, 0.500, 0.200), Bi at (0.000, 0.000, 0.365) and Os at (0.000, 0.500, 0.693).

For the spin magnetization, the calculation gives 0.0 Bohr magnetons per cell.


Version two
Compound: CaHfBiOs
Source: Alexandria
Functional: PBE
Structure: optimized geometry

The space group is Amm2 (No. 38) and the conventional cell measures 4.226, 3.490 and 12.965 Å, with angles of 90.00, 90.00 and 90.00 degrees. Symmetry generates all atoms from Ca at (0.000, 0.000, 0.000), Hf at (0.500, 0.000, 0.684), Bi at (0.500, 0.000, 0.379) and Os at (0.000, 0.000, 0.223).

For the spin magnetization, the calculation gives 0.0 Bohr magnetons per cell.


Version three
Compound: CaHfBiOs
Source: Alexandria
Functional: PBE
Structure: optimized geometry

The space group is R3m (No. 160, hexagonal axes) and the conventional cell measures 4.6179, 4.6179 and 16.8139 Å, with angles of 90.00, 90.00 and 120.00 degrees. Symmetry generates all atoms from Ca at (0.0000, 0.0000, 0.0000), Hf at (0.0000, 0.0000, 0.2045), Bi at (0.0000, 0.0000, 0.4374) and Os at (0.0000, 0.0000, 0.8269).

For the spin magnetization, the calculation gives 0.0 Bohr magnetons per cell.


Version four
Compound: CaHfBiOs
Source: Alexandria
Functional: PBE
Structure: optimized geometry

The space group is P4mm (No. 99) and the conventional cell measures 3.346, 3.346 and 8.435 Å, with angles of 90.00, 90.00 and 90.00 degrees. Symmetry generates all atoms from Ca at (0.000, 0.000, 0.000), Hf at (0.000, 0.000, 0.607), Bi at (0.500, 0.500, 0.325) and Os at (0.500, 0.500, 0.765).

For the spin magnetization, the calculation gives 0.0 Bohr magnetons per cell.


Of them, the most stable is version four and the least stable is version three.


Version one
Compound: CaHfBiOs
Source: Alexandria
Functional: PBE
Structure: optimized geometry

The space group is P1 (No. 1) and the conventional cell measures 3.343, 5.121 and 5.950 Å, with angles of 104.96, 90.09 and 90.05 degrees. Symmetry generates all atoms from Ca at (0.000, 0.000, 0.000), Hf at (0.001, 0.610, 0.378), Bi at (0.501, 0.169, 0.563) and Os at (0.500, 0.522, 0.042).

For the spin magnetization, the calculation gives 0.0 Bohr magnetons per cell.


Version two
Compound: CaHfBiOs
Source: Alexandria
Functional: PBE
Structure: optimized geometry

The space group is Cm (No. 8) and the conventional cell measures 9.135, 3.400 and 7.188 Å, with angles of 90.00, 109.42 and 90.00 degrees. Symmetry generates all atoms from Ca at (0.000, 0.000, 0.000), Hf at (0.096, 0.500, 0.584), Bi at (0.306, 0.500, 0.319) and Os at (0.326, 0.000, 0.655).

For the spin magnetization, the calculation gives 0.0 Bohr magnetons per cell.


Of them, the most stable is version two and the least stable is version one.


Version one
Compound: CaHfBiOs
Source: Alexandria
Functional: PBE
Structure: optimized geometry

The space group is Imm2 (No. 44) and the conventional cell measures 3.318, 5.031 and 11.582 Å, with angles of 90.00, 90.00 and 90.00 degrees. Symmetry generates all atoms from Ca at (0.000, 0.000, 0.000), Hf at (0.000, 0.500, 0.192), Bi at (0.000, 0.500, 0.794) and Os at (0.000, 0.000, 0.521).

For the spin magnetization, the calculation gives 0.0 Bohr magnetons per cell.


Version two
Compound: CaHfBiOs
Source: Alexandria
Functional: PBE
Structure: optimized geometry

The space group is R3m (No. 160, hexagonal axes) and the conventional cell measures 4.5982, 4.5982 and 16.3633 Å, with angles of 90.00, 90.00 and 120.00 degrees. Symmetry generates all atoms from Ca at (0.0000, 0.0000, 0.0000), Hf at (0.0000, 0.0000, 0.4505), Bi at (0.0000, 0.0000, 0.2191) and Os at (0.0000, 0.0000, 0.7997).

For the spin magnetization, the calculation gives 0.0 Bohr magnetons per cell.


Of them, the most stable is version two and the least stable is version one.


Version one
Compound: CaHgBi
Source: Alexandria
Functional: PBE
Structure: optimized geometry

The space group is Pnma (No. 62) and the conventional cell measures 15.501, 4.797 and 4.670 Å, with angles of 90.00, 90.00 and 90.00 degrees. Symmetry generates all atoms from Ca at (0.102, 0.250, 0.001), Hg at (0.249, 0.250, 0.501) and Bi at (0.083, 0.750, 0.501).

For the spin magnetization, the calculation gives 0.0 Bohr magnetons per cell.


Version two
Compound: CaHgBi
Source: Alexandria
Functional: PBE
Structure: optimized geometry

The space group is P3m1 (No. 156) and the conventional cell measures 5.2375, 5.2375 and 3.7493 Å, with angles of 90.00, 90.00 and 120.00 degrees. Symmetry generates all atoms from Ca at (0.0000, 0.0000, 0.0000), Hg at (0.3333, 0.6667, 0.2648) and Bi at (0.6667, 0.3333, 0.5711).

For the spin magnetization, the calculation gives 0.0 Bohr magnetons per cell.


Version three
Compound: CaHgBi
Source: Alexandria
Functional: PBE
Structure: optimized geometry

The space group is F-43m (No. 216) and the conventional cell measures 7.286, 7.286 and 7.286 Å, with angles of 90.00, 90.00 and 90.00 degrees. Symmetry generates all atoms from Ca at (0.000, 0.000, 0.000), Hg at (0.250, 0.250, 0.250) and Bi at (0.000, 0.000, 0.500).

For the spin magnetization, the calculation gives 0.0 Bohr magnetons per cell.


Version four
Compound: CaHgBi
Source: Alexandria
Functional: PBE
Structure: optimized geometry

The space group is C2/m (No. 12) and the conventional cell measures 9.263, 5.738 and 8.610 Å, with angles of 90.00, 122.38 and 90.00 degrees. Symmetry generates all atoms from Ca at (0.234, 0.000, 0.296), Hg at (0.062, 0.500, 0.275) and Bi at (0.179, 0.000, 0.878).

For the spin magnetization, the calculation gives 0.0 Bohr magnetons per cell.


Of them, the most stable is version one and the least stable is version four.


Version one
Compound: Ca3HgBi
Source: Alexandria
Functional: PBE
Structure: optimized geometry

The space group is C222 (No. 21) and the conventional cell measures 10.142, 16.764 and 4.138 Å, with angles of 90.00, 90.00 and 90.00 degrees. Symmetry generates all atoms from Ca at (0.000, 0.147, 0.000), Ca at (0.188, 0.389, 0.499), Hg at (0.250, 0.250, 0.999), Bi at (0.000, 0.000, 0.500) and Bi at (0.000, 0.500, 0.000).

For the spin magnetization, the calculation gives 0.0 Bohr magnetons per cell.


Version two
Compound: Ca3HgBi
Source: Alexandria
Functional: PBE
Structure: optimized geometry

The space group is Pm-3m (No. 221) and the conventional cell measures 6.009, 6.009 and 6.009 Å, with angles of 90.00, 90.00 and 90.00 degrees. Symmetry generates all atoms from Ca at (0.000, 0.000, 0.500), Hg at (0.500, 0.500, 0.500) and Bi at (0.000, 0.000, 0.000).

For the spin magnetization, the calculation gives 0.0 Bohr magnetons per cell.


Of them, the most stable is version one and the least stable is version two.


Version one
Compound: CaHg2Bi2
Source: Alexandria
Functional: PBE
Structure: optimized geometry

The space group is I4/mmm (No. 139) and the conventional cell measures 4.292, 4.292 and 17.823 Å, with angles of 90.00, 90.00 and 90.00 degrees. Symmetry generates all atoms from Ca at (0.000, 0.000, 0.000), Hg at (0.000, 0.500, 0.250) and Bi at (0.000, 0.000, 0.416).

For the spin magnetization, the calculation gives 0.0 Bohr magnetons per cell.


Version two
Compound: CaHg2Bi2
Source: Alexandria
Functional: PBE
Structure: optimized geometry

The space group is R-3m (No. 166, hexagonal axes) and the conventional cell measures 5.0784, 5.0784 and 22.6785 Å, with angles of 90.00, 90.00 and 120.00 degrees. Symmetry generates all atoms from Ca at (0.0000, 0.0000, 0.0000), Hg at (0.0000, 0.0000, 0.2733) and Bi at (0.0000, 0.0000, 0.4276).

For the spin magnetization, the calculation gives 0.0 Bohr magnetons per cell.


Of them, the most stable is version two and the least stable is version one.


Version one
Compound: CaHg2Bi2
Source: Alexandria
Functional: PBE
Structure: optimized geometry

The space group is P4/mbm (No. 127) and the conventional cell measures 8.368, 8.368 and 4.356 Å, with angles of 90.00, 90.00 and 90.00 degrees. Symmetry generates all atoms from Ca at (0.000, 0.000, 0.000), Hg at (0.164, 0.336, 0.500) and Bi at (0.136, 0.636, 0.000).

For the spin magnetization, the calculation gives 0.0 Bohr magnetons per cell.


Version two
Compound: CaHg2Bi2
Source: Alexandria
Functional: PBE
Structure: optimized geometry

The space group is C2/m (No. 12) and the conventional cell measures 9.256, 5.311 and 6.631 Å, with angles of 90.00, 118.19 and 90.00 degrees. Symmetry generates all atoms from Ca at (0.000, 0.000, 0.000), Hg at (0.101, 0.500, 0.800) and Bi at (0.207, 0.000, 0.620).

For the spin magnetization, the calculation gives 0.0 Bohr magnetons per cell.


Of them, the most stable is version two and the least stable is version one.